Record 1
Na2CuAuBr6 PBE-GGA relaxed; SG = No. 139; E_tot = -2.6096 eV per atom
1.0
-3.632 3.147 5.934
-3.193 5.390 -4.365
-0.728 -7.420 -1.647
Au Br Cu Na
1 6 1 2
Direct
0.000 0.000 0.000
0.762 0.238 0.000
0.289 0.289 0.000
0.711 0.711 0.000
0.238 0.762 0.000
0.238 0.238 0.477
0.762 0.762 0.523
0.500 0.500 0.000
0.750 0.250 0.500
0.250 0.750 0.500

Record 2
AcNdAs PBE-GGA relaxed; relative energy among the computed polymorphs = 0.000 eV/atom; SG = No. 216
1.0
-1.827 1.664 4.543
-1.802 4.826 0.451
-5.070 0.821 0.604
Ac As Nd
1 1 1
Direct
0.250 0.250 0.250
0.000 0.000 0.000
0.750 0.750 0.750

Record 3
BaMg2Cu PBE-GGA relaxed; SG = No. 216; E_tot = -2.0577 eV per atom
1.0
0.000 3.780 3.780
3.780 0.000 3.780
3.780 3.780 0.000
Ba Cu Mg
1 1 2
Direct
0.750 0.750 0.750
0.500 0.500 0.500
0.000 0.000 0.000
0.250 0.250 0.250

Record 4
RbTm2 PBE-GGA relaxed; relative energy among the computed polymorphs = 0.000 eV/atom; SG = No. 227
1.0
0.000 5.030 5.030
5.030 0.000 5.030
5.030 5.030 0.000
Rb Tm
2 4
Direct
0.000 0.000 0.000
0.250 0.250 0.250
0.625 0.625 0.125
0.625 0.125 0.625
0.125 0.625 0.625
0.625 0.625 0.625

Record 5
AgSnTe2 PBE-GGA relaxed; SG = No. 166; E_tot = -3.4568 eV per atom
1.0
-0.415 -1.928 3.830
-1.115 -4.155 0.211
7.242 0.207 -1.529
Ag Sn Te
1 1 2
Direct
0.000 0.000 0.000
0.500 0.500 0.500
0.746 0.746 0.237
0.254 0.254 0.763

Record 6
TmTlTc PBE-GGA relaxed; relative energy among the computed polymorphs = 0.332 eV/atom; SG = No. 216
1.0
0.000 3.364 3.364
3.364 0.000 3.364
3.364 3.364 0.000
Tc Tl Tm
1 1 1
Direct
0.250 0.250 0.250
0.750 0.750 0.750
0.000 0.000 0.000